# 1
The following is a PBE-GGA calculation of an optimized crystal structure of CeSm2NpP4, from Alexandria via LeMat-Bulk.

## Properties
Crystal system = monoclinic
ΔH_f (0 K) = -1374 meV per atom
VASP energy = -7.62 eV per atom
M_tot = 0.5244 μB/atom

Structure (CIF):
```
data_CeSm2NpP4
_cell_length_a 7.031
_cell_length_b 4.057
_cell_length_c 7.055
_cell_angle_alpha 90.00
_cell_angle_beta 109.43
_cell_angle_gamma 90.00
_space_group_name_H-M_alt 'P 1 2/m 1'
_space_group_IT_number 10
loop_
_space_group_symop_operation_xyz
'x,y,z'
'-x,-y,-z'
'-x,y,-z'
'x,-y,z'
loop_
_atom_site_label
_atom_site_type_symbol
_atom_site_fract_x
_atom_site_fract_y
_atom_site_fract_z
_atom_site_occupancy
Ce1 Ce 0.000 0.000 0.000 1
Sm1 Sm 0.000 0.500 0.500 1
Sm2 Sm 0.500 0.000 0.500 1
Np1 Np 0.500 0.500 0.000 1
P1 P 0.252 0.500 0.243 1
P2 P 0.258 0.000 0.760 1
```


# 2
The following is a PBE-GGA calculation of an optimized crystal structure of Tm4TlZn, from Alexandria via LeMat-Bulk.

## Properties
Energy relative to the lowest polymorph listed for this composition = 0.000 eV/atom
Crystal system = tetragonal
ΔH_f (0 K) = -215 meV per atom
VASP energy = -3.80 eV per atom
M_tot = 0.0001 μB/atom

Structure (CIF):
```
data_Tm4TlZn
_cell_length_a 3.539
_cell_length_b 3.539
_cell_length_c 12.624
_cell_angle_alpha 90.00
_cell_angle_beta 90.00
_cell_angle_gamma 90.00
_space_group_name_H-M_alt 'P 4/m m m'
_space_group_IT_number 123
_space_group_name_Hall '-P 4 2'
loop_
_atom_site_label
_atom_site_type_symbol
_atom_site_fract_x
_atom_site_fract_y
_atom_site_fract_z
_atom_site_occupancy
Tm1 Tm 0.000 0.000 0.138 1
Tm2 Tm 0.500 0.500 0.332 1
Tl1 Tl 0.000 0.000 0.500 1
Zn1 Zn 0.500 0.500 0.000 1
```


# 3
The following is a PBE-GGA calculation of an optimized crystal structure of Pu3SiPd2Rh3, from Alexandria via LeMat-Bulk.

## Properties
Crystal system = hexagonal
VASP energy = -9.54 eV per atom
ΔE_f (raw) = -555 meV per atom
M_tot = 1.7214 μB/atom

Structure (CIF):
```
data_Pu3SiPd2Rh3
_cell_length_a 7.3492
_cell_length_b 7.3492
_cell_length_c 3.6260
_cell_angle_alpha 90.00
_cell_angle_beta 90.00
_cell_angle_gamma 120.00
_space_group_name_H-M_alt 'P -6 2 m'
_space_group_IT_number 189
_space_group_name_Hall 'P -6 -2'
loop_
_atom_site_label
_atom_site_type_symbol
_atom_site_fract_x
_atom_site_fract_y
_atom_site_fract_z
_atom_site_occupancy
Pu1 Pu 0.0000 0.4001 0.0000 1
Si1 Si 0.0000 0.0000 0.0000 1
Pd1 Pd 0.3333 0.6667 0.5000 1
Rh1 Rh 0.0000 0.7739 0.5000 1
```


# 4
The following is a PBE-GGA calculation of an optimized crystal structure of Mg2SeCl, from Alexandria via LeMat-Bulk.

## Properties
Energy relative to the lowest polymorph listed for this composition = 0.228 eV/atom
Crystal system = cubic
VASP energy = -2.92 eV per atom
ΔE_f (raw) = -789 meV per atom
M_tot = 0.0000 μB/atom

Structure (CIF):
```
data_Mg2SeCl
_cell_length_a 6.841
_cell_length_b 6.841
_cell_length_c 6.841
_cell_angle_alpha 90.00
_cell_angle_beta 90.00
_cell_angle_gamma 90.00
_space_group_name_H-M_alt 'F m -3 m'
_space_group_IT_number 225
_space_group_name_Hall '-F 4 2 3'
loop_
_atom_site_label
_atom_site_type_symbol
_atom_site_fract_x
_atom_site_fract_y
_atom_site_fract_z
_atom_site_occupancy
Mg1 Mg 0.250 0.250 0.250 1
Se1 Se 0.000 0.000 0.000 1
Cl1 Cl 0.000 0.000 0.500 1
```


- The lowest VASP energy belongs to which entry?
  Pu3SiPd2Rh3


- Look up the VASP energy of the second one.
  -3.80 eV per atom


- M_tot of number 1 (CeSm2NpP4)?
  0.5244 μB/atom


- Which of these has the lowest VASP energy?
  Pu3SiPd2Rh3